Below is a relaxed structure of CsK2In2, with properties calculated at the PBE level.

Cell: 10.245 10.245 4.597 Å, 90.00 90.00 90.00°
Atoms (fractional coordinates):
Cs 0.000 0.000 0.000
Cs 0.500 0.500 0.000
K 0.181 0.319 0.500
K 0.319 0.819 0.500
K 0.681 0.181 0.500
K 0.819 0.681 0.500
In 0.101 0.601 0.000
In 0.399 0.101 0.000
In 0.601 0.899 0.000
In 0.899 0.399 0.000

## Properties
Magnetic moment (μB per atom): 0.000
Density (g/cm3): 3.03
DFT formation energy (meV/atom): 22

---

Below is a relaxed structure of CsKIn2, with properties calculated at the PBE level.

Cell: 8.087 8.087 8.087 Å, 100.25 100.25 130.09°
Atoms (fractional coordinates):
Cs 0.000 0.000 0.000
Cs 0.750 0.250 0.500
K 0.250 0.750 0.500
K 0.500 0.500 0.000
In 0.143 0.125 0.518
In 0.375 0.857 0.982
In 0.607 0.625 0.482
In 0.875 0.393 0.018

## Properties
Magnetic moment (μB per atom): 0.000
Density (g/cm3): 3.64
DFT formation energy (meV/atom): 213

---

Below is a relaxed structure of CsKIn2, with properties calculated at the PBE level.

Cell: 8.424 4.855 9.762 Å, 90.00 108.88 90.00°
Atoms (fractional coordinates):
Cs 0.177 0.250 0.400
Cs 0.823 0.750 0.600
K 0.467 0.750 0.830
K 0.533 0.250 0.170
In 0.145 0.750 0.049
In 0.150 0.250 0.848
In 0.850 0.750 0.152
In 0.855 0.250 0.951

## Properties
Magnetic moment (μB per atom): 0.000
Density (g/cm3): 3.53
DFT formation energy (meV/atom): -88

---

Q: Which value of DFT formation energy does entry 2 give?
A: 213 meV/atom

---

Q: The lowest density belongs to which entry?
A: CsK2In2

---

Q: magnetic moment of number 3 (CsKIn2)?
A: 0.000 μB per atom